VASP calculation (PBE) on a relaxed TlInSn4 crystal.

abc: 8.946 8.946 8.946
angles: 90.00 90.00 90.00
Space group F-43m (No. 216)
Symmetry-distinct sites (fractional):
Tl (0.000, 0.000, 0.000) (multiplicity 4)
In (0.250, 0.250, 0.750) (multiplicity 4)
Sn (0.125, 0.125, 0.375) (multiplicity 16)

Calculated values
formation energy = 67 meV per atom
energy = -3.4527 eV per atom